# UMn2BiO8

An optimized crystal structure of UMn2BiO8 (PBE+U, Alexandria).

Output
Electronic total energy, eV/cell: -92.34

Cell lengths 4.7729, 4.7729, 6.9911 Å; angles 93.90, 93.90, 88.19 degrees
Fractional positions:
U (0.0000, 0.0000, 0.0000)
Mn (0.4893, 0.4893, 0.2608)
Mn (0.5107, 0.5107, 0.7392)
Bi (0.0000, 0.0000, 0.5000)
O (0.2071, 0.7920, 0.2344)
O (0.2080, 0.7929, 0.7656)
O (0.2961, 0.2961, 0.0313)
O (0.3252, 0.3252, 0.5123)
O (0.6748, 0.6748, 0.4877)
O (0.7039, 0.7039, 0.9687)
O (0.7920, 0.2071, 0.2344)
O (0.7929, 0.2080, 0.7656)